This record from the Alexandria database describes an optimized crystal structure of HfIr2O. The functional is PBE.

The size of the total moment is 0.0 μB per formula unit. For the uncorrected formation energy, the calculation gives -0.130 eV per atom. The density of states at the Fermi level comes out at 0.0 states/eV per cell.

CIF file:
```
data_HfIr2O
_cell_length_a 4.8972
_cell_length_b 4.8972
_cell_length_c 11.8984
_cell_angle_alpha 90.00
_cell_angle_beta 90.00
_cell_angle_gamma 90.00
_symmetry_space_group_name_H-M 'I -4 2 d'
_symmetry_Int_Tables_number 122
_symmetry_space_group_name_Hall 'I -4 2bw'
loop_
_atom_site_label
_atom_site_type_symbol
_atom_site_fract_x
_atom_site_fract_y
_atom_site_fract_z
Hf1 Hf 0.0000 0.0000 0.0000
Ir1 Ir 0.1258 0.2500 0.6250
O1 O 0.0000 0.0000 0.5000
```